1.
Y2Ni2Ag: PBEsol geometry, SCAN.

The calculation puts the distance to the lowest polymorph of the same formula at 0.174 eV per atom. The value obtained for the formation energy from the elements is -0.22 eV per atom. As for the uncorrected energy: -1.771 Ry per atom.

It has space group I4/mmm (No. 139), with a = 5.1217 Å, b = 5.1217 Å, c = 7.4819 Å, α = 90.00°, β = 90.00° and γ = 90.00°. Symmetry generates all atoms from Y at (0.0000, 0.5000, 0.2500), Ni at (0.0000, 0.0000, 0.1511) and Ag at (0.0000, 0.0000, 0.5000).

=====

2.
YNiAg2: PBEsol geometry, SCAN.

The value obtained for the formation energy from the elements is -0.12 eV per atom. As for the uncorrected energy: -1.970 Ry per atom.

It has space group F222 (No. 22), with a = 5.8135 Å, b = 5.8566 Å, c = 8.1540 Å, α = 90.00°, β = 90.00° and γ = 90.00°. Symmetry generates all atoms from Y at (0.0000, 0.0000, 0.0000), Ni at (0.2500, 0.2500, 0.2500), Ag at (0.0000, 0.0000, 0.5000) and Ag at (0.2500, 0.2500, 0.7500).

=====

3.
ZnNi2Ag: PBEsol geometry, SCAN.

The value obtained for the formation energy from the elements is 0.10 eV per atom. As for the uncorrected energy: -1.412 Ry per atom.

It has space group P4/mmm (No. 123), with a = 3.7312 Å, b = 3.7312 Å, c = 3.5877 Å, α = 90.00°, β = 90.00° and γ = 90.00°. Symmetry generates all atoms from Zn at (0.0000, 0.0000, 0.0000), Ni at (0.0000, 0.5000, 0.5000) and Ag at (0.5000, 0.5000, 0.0000).

=====

4.
Zn2NiAg: PBEsol geometry, SCAN.

The value obtained for the formation energy from the elements is -0.04 eV per atom. As for the uncorrected energy: -1.373 Ry per atom.

It has space group P4/mmm (No. 123), with a = 3.8291 Å, b = 3.8291 Å, c = 3.6302 Å, α = 90.00°, β = 90.00° and γ = 90.00°. Symmetry generates all atoms from Zn at (0.0000, 0.5000, 0.0000), Ni at (0.0000, 0.0000, 0.5000) and Ag at (0.5000, 0.5000, 0.5000).

=====

5.
ZnNi2Ag: PBEsol geometry, SCAN.

The value obtained for the formation energy from the elements is 0.14 eV per atom. As for the uncorrected energy: -1.409 Ry per atom.

It has space group F-43m (No. 216), with a = 5.8515 Å, b = 5.8515 Å, c = 5.8515 Å, α = 90.00°, β = 90.00° and γ = 90.00°. Symmetry generates all atoms from Zn at (0.0000, 0.0000, 0.0000), Ni at (0.0000, 0.0000, 0.5000), Ni at (0.2500, 0.2500, 0.2500) and Ag at (0.2500, 0.2500, 0.7500).

=====

6.
ZnNi2Ag: PBEsol geometry, SCAN.

The value obtained for the formation energy from the elements is 0.10 eV per atom. As for the uncorrected energy: -1.411 Ry per atom.

It has space group Cmmm (No. 65), with a = 5.3466 Å, b = 6.8671 Å, c = 2.7268 Å, α = 90.00°, β = 90.00° and γ = 90.00°. Symmetry generates all atoms from Zn at (0.0000, 0.0000, 0.0000), Ni at (0.2500, 0.2500, 0.5000) and Ag at (0.0000, 0.5000, 0.0000).

=====

7.
ZrNiAg2: PBEsol geometry, SCAN.

The value obtained for the formation energy from the elements is 0.07 eV per atom. As for the uncorrected energy: -2.009 Ry per atom.

It has space group P2/m (No. 10), with a = 2.8043 Å, b = 4.6135 Å, c = 5.1015 Å, α = 90.00°, β = 101.40° and γ = 90.00°. Symmetry generates all atoms from Zr at (0.0000, 0.0000, 0.0000), Ni at (0.5000, 0.0000, 0.5000) and Ag at (0.3359, 0.5000, 0.7330).

=====

8.
Zr2Ni2Ag: PBEsol geometry, SCAN.

The calculation puts the distance to the lowest polymorph of the same formula at 0.346 eV per atom. The value obtained for the formation energy from the elements is -0.07 eV per atom. As for the uncorrected energy: -1.845 Ry per atom.

It has space group I4/mmm (No. 139), with a = 3.2870 Å, b = 3.2870 Å, c = 15.7993 Å, α = 90.00°, β = 90.00° and γ = 90.00°. Symmetry generates all atoms from Zr at (0.0000, 0.0000, 0.1216), Ni at (0.0000, 0.5000, 0.2500) and Ag at (0.0000, 0.0000, 0.5000).